## Cr2CoBr2 (PBE)

Data for a geometry-optimized Cr2CoBr2 structure.

Cell and atoms, written as POSCAR:
```
Cr2CoBr2
1.0
7.015 0.000 0.000
0.000 7.015 0.000
0.000 0.000 4.698
Cr Co Br
4 2 4
Direct
0.242 0.258 0.000 Cr
0.258 0.758 0.000 Cr
0.742 0.242 0.000 Cr
0.758 0.742 0.000 Cr
0.000 0.000 0.000 Co
0.500 0.500 0.000 Co
0.178 0.678 0.500 Br
0.322 0.178 0.500 Br
0.678 0.822 0.500 Br
0.822 0.322 0.500 Br
```

Values from the calculation:
ρ	4.64	g/cm³
distance to the lowest polymorph of the same formula	0.00	eV/f.u.
formation energy (no corrections)	0.70	eV per atom